No. 1
AlInAu2 | PBE | optimized geometry

Structure (CIF):
```
data_AlInAu2
_symmetry_space_group_name_H-M 'R 3 m'
_symmetry_Int_Tables_number 160
_symmetry_space_group_name_Hall 'R 3 -2"'
_cell_length_a 3.6623
_cell_length_b 3.6623
_cell_length_c 21.4720
_cell_angle_alpha 90.00
_cell_angle_beta 90.00
_cell_angle_gamma 120.00
loop_
_atom_site_label
_atom_site_type_symbol
_atom_site_fract_x
_atom_site_fract_y
_atom_site_fract_z
Al1 Al 0.0000 0.0000 0.0000
In1 In 0.0000 0.0000 0.8328
Au1 Au 0.0000 0.0000 0.4064
Au2 Au 0.0000 0.0000 0.5928
```

Summary:
E_tot ... -3.478 eV per atom
Calculated formation energy ... -5.055 kcal/mol of atoms



No. 2
Al2InAu | PBE | optimized geometry

Structure (CIF):
```
data_Al2InAu
_symmetry_space_group_name_H-M 'P m m 2'
_symmetry_Int_Tables_number 25
_symmetry_space_group_name_Hall 'P 2 -2'
_cell_length_a 3.0087
_cell_length_b 3.1865
_cell_length_c 8.0422
_cell_angle_alpha 90.00
_cell_angle_beta 90.00
_cell_angle_gamma 90.00
loop_
_atom_site_label
_atom_site_type_symbol
_atom_site_fract_x
_atom_site_fract_y
_atom_site_fract_z
Al1 Al 0.0000 0.0000 0.0000
Al2 Al 0.5000 0.5000 0.2310
In1 In 0.5000 0.5000 0.7118
Au1 Au 0.0000 0.0000 0.4316
```

Summary:
E_tot ... -3.429 eV per atom
Calculated formation energy ... -1.241 kcal/mol of atoms



No. 3
Al2InAu | PBE | optimized geometry

Structure (CIF):
```
data_Al2InAu
_symmetry_space_group_name_H-M 'P 1 m 1'
_symmetry_Int_Tables_number 6
_symmetry_space_group_name_Hall 'P -2y'
_cell_length_a 2.9634
_cell_length_b 3.7023
_cell_length_c 7.3908
_cell_angle_alpha 90.00
_cell_angle_beta 100.30
_cell_angle_gamma 90.00
loop_
_atom_site_label
_atom_site_type_symbol
_atom_site_fract_x
_atom_site_fract_y
_atom_site_fract_z
Al1 Al 0.0000 0.0000 0.0000
Al2 Al 0.3984 0.5000 0.7765
In1 In 0.7685 0.0000 0.4979
Au1 Au 0.5831 0.5000 0.1768
```

Summary:
E_tot ... -3.436 eV per atom
Calculated formation energy ... -1.402 kcal/mol of atoms



Result set for volume: 249.4, 77.1, 79.8 Å³ per cell, one per record in the order listed.